VASP calculation (PBE with a Hubbard U) on a geometry-optimized CaFe2ReF structure.

abc: 5.837 5.837 5.427
angles: 90.00 90.00 90.00
Atoms (fractional coordinates):
Ca  0.000  0.000  0.000
Fe  0.000  0.500  0.000
Fe  0.500  0.000  0.000
Re  0.000  0.000  0.500
F  0.500  0.500  0.500

Symmetry: P4/mmm (123)
Volume, Å³ per atom: 36.99
Final energy, eV per atom: -3.445